Record 1
Material: GePdNO
Method: DFT, PBE-GGA
State: relaxed

a b c (Å): 3.092 5.975 5.666
angles (deg): 90.00 90.00 90.00
Element x y z (fractional)
Ge 0.000 0.138 0.000
Ge 0.000 0.862 0.500
Pd 0.500 0.308 0.475
Pd 0.500 0.692 0.975
N 0.000 0.128 0.330
N 0.000 0.872 0.830
O 0.500 0.291 0.925
O 0.500 0.709 0.425

Values from the calculation:
The energy above the lowest structure with this stoichiometry comes out at 0.235 eV per atom.

***

Record 2
Material: ReTe2Se3
Method: DFT, PBE-GGA
State: relaxed

a b c (Å): 6.965 7.416 7.781
angles (deg): 108.03 110.04 101.98
Element x y z (fractional)
Re 0.223 0.006 0.020
Re 0.777 0.994 0.980
Te 0.250 0.037 0.387
Te 0.440 0.627 0.693
Te 0.560 0.373 0.307
Te 0.750 0.963 0.613
Se 0.055 0.262 0.962
Se 0.056 0.791 0.643
Se 0.479 0.809 0.065
Se 0.521 0.191 0.935
Se 0.944 0.209 0.357
Se 0.945 0.738 0.038

Values from the calculation:
The energy above the lowest structure with this stoichiometry comes out at 0.042 eV per atom. The calculation puts the size of the total moment at 0.00 μB per formula unit.

***

Look up the energy above the lowest structure with this stoichiometry of the first one. 0.235 eV per atom